Entry from Alexandria: an optimized crystal structure of ZrTaRh2 (PBE-GGA).

Calculated values
SG: R3m (160)
Formation energy in eV per atom: -0.13
Raw total energy in eV per atom: -8.910

Unit cell a=8.9095 b=8.9095 c=8.9095 alpha=19.82 beta=19.82 gamma=19.82
Sites, in units of the cell vectors:
Rh (0.2464, 0.2464, 0.2464)
Zr (0.7458, 0.7458, 0.7458)
Rh (0.0015, 0.0015, 0.0015)
Ta (0.5063, 0.5063, 0.5063)